(1)
16
Lattice="-0.936 6.543 -4.664 -3.035 -5.191 -6.675 -3.892 -0.516 7.073" Properties=species:S:1:pos:R:3 comment="Rb4Tb3ScS8, optimized geometry, DFT PBE-GGA" raw_formation_energy_kcal_per_mol_atoms=-41.76 pbc="T T T"
Rb -0.468 3.272 -2.332
Rb -2.414 3.014 1.205
Rb 0.000 0.000 0.000
Rb -1.946 -0.258 3.536
Tb -1.985 0.676 -5.669
Tb -3.931 0.418 -2.133
Tb -3.464 -2.854 0.199
Sc -1.518 -2.596 -3.337
S -6.055 -2.609 1.185
S -4.040 -2.342 -2.476
S -3.270 -0.107 0.506
S -6.539 0.777 -1.229
S -1.323 0.059 -3.037
S -4.593 0.943 -4.771
S -3.822 3.178 -1.790
S -1.808 3.445 -5.450

---

(2)
5
Lattice="-4.222 -3.615 0.842 3.509 -3.472 2.691 -1.210 2.547 4.864" Properties=species:S:1:pos:R:3 comment="BaSrAs3, optimized geometry, DFT PBE-GGA" ef_mev_per_atom=-41.5 pbc="T T T"
Sr 0.000 0.000 0.000
As 1.755 -1.736 1.345
As -0.605 1.273 2.432
As -2.111 -1.808 0.421
Ba -0.962 -2.270 4.199

---

(3)
4
Lattice="-2.561 -0.898 1.061 1.324 -2.154 1.375 2.027 1.094 5.819" Properties=species:S:1:pos:R:3 comment="LiMnNi2, optimized geometry, DFT PBE-GGA" ef_mev_per_atom=-6.9 pbc="T T T"
Li -0.443 -0.714 2.329
Mn 1.233 -1.244 5.926
Ni 1.324 -2.149 1.378
Ni 1.676 -0.535 3.594

---

(4)
6
Lattice="4.752 0.000 0.000 2.376 4.116 0.000 2.376 1.372 3.880" Properties=species:S:1:pos:R:3 comment="GdPaB4, optimized geometry, DFT PBE-GGA" ef_mev_per_atom=289.4 pbc="T T T"
Gd 0.000 0.000 0.000
B 4.752 2.744 0.110
B 4.752 1.019 2.550
B 6.246 3.606 2.550
B 3.258 3.606 2.550
Pa 2.376 1.372 0.970

---

(5)
12
Lattice="7.287 0.000 0.000 0.000 7.287 0.000 0.000 0.000 7.287" Properties=species:S:1:pos:R:3 comment="BBr, optimized geometry, DFT PBE-GGA" raw_formation_energy_kcal_per_mol_atoms=38.57 pbc="T T T"
B 1.822 3.643 0.000
B 5.465 3.643 0.000
B 3.643 0.000 1.822
B 3.643 0.000 5.465
B 0.000 1.822 3.643
B 0.000 5.465 3.643
Br 1.822 0.000 3.643
Br 5.465 0.000 3.643
Br 0.000 3.643 1.822
Br 0.000 3.643 5.465
Br 3.643 1.822 0.000
Br 3.643 5.465 0.000

---

(6)
14
Lattice="-3.102 -1.305 3.587 5.162 -3.012 6.740 1.241 5.980 6.621" Properties=species:S:1:pos:R:3 comment="Pm3Mg3Cd8, optimized geometry, DFT PBE-GGA" ef_mev_per_atom=-252.7 pbc="T T T"
Pm 1.651 0.832 8.474
Pm -1.105 -0.407 5.640
Pm 4.407 2.070 11.308
Mg -1.551 -0.652 1.794
Mg 4.464 -1.411 6.719
Mg 1.940 4.379 6.642
Cd -0.786 2.811 7.087
Cd 4.087 -1.148 9.861
Cd 1.456 -2.331 7.155
Cd 1.845 3.994 9.793
Cd 2.146 -0.413 11.822
Cd 1.155 2.076 5.126
Cd 1.044 2.116 11.789
Cd 2.258 -0.453 5.160

---

(7)
15
Lattice="6.811 -0.177 -3.757 -4.406 6.401 -0.180 -0.183 0.134 7.770" Properties=species:S:1:pos:R:3 comment="Np4Pa3S8, optimized geometry, DFT PBE-GGA" raw_formation_energy_kcal_per_mol_atoms=-34.06 pbc="T T T"
Np 3.406 -0.088 -1.879
Np -2.203 3.201 -0.090
Np 0.000 0.000 0.000
Np -0.092 0.067 3.885
Pa 1.202 3.112 -1.969
Pa 3.314 -0.021 2.006
Pa 1.111 3.179 1.916
S 2.310 1.585 0.022
S -3.325 4.797 1.854
S 5.636 1.480 -1.827
S 0.044 4.762 -0.092
S 2.177 1.597 3.924
S -3.415 4.879 5.659
S -1.264 1.738 5.735
S -0.089 4.774 3.810

---

(8)
4
Lattice="-1.792 4.049 -1.090 -3.823 -0.255 2.473 4.215 -0.654 1.612" Properties=species:S:1:pos:R:3 comment="Ir3Cl, optimized geometry, DFT PBE-GGA" raw_formation_energy_kcal_per_mol_atoms=24.01 pbc="T T T"
Ir -1.208 0.494 2.388
Ir -2.808 1.897 0.692
Ir -0.192 2.646 0.607
Cl 0.000 0.000 0.000

---

(9)
14
Lattice="4.220 0.000 0.000 -2.110 6.845 0.000 0.000 0.000 14.081" Properties=species:S:1:pos:R:3 comment="AcPu2Se4, optimized geometry, DFT PBE-GGA" raw_formation_energy_kcal_per_mol_atoms=-38.84 pbc="T T T"
Ac 2.110 1.579 10.561
Ac 0.000 5.266 3.520
Pu 0.000 1.813 6.156
Pu 2.110 5.032 13.197
Pu 0.000 1.813 0.885
Pu 2.110 5.032 7.925
Se 2.110 3.693 1.702
Se 2.110 3.693 5.338
Se 0.000 3.152 12.379
Se 0.000 3.152 8.743
Se 2.110 6.187 10.561
Se 0.000 0.658 3.520
Se 2.110 0.000 0.000
Se 2.110 0.000 7.041

---

(10)
8
Lattice="-3.237 0.473 -1.647 0.015 -3.513 -1.037 -7.929 -4.271 14.354" Properties=species:S:1:pos:R:3 comment="Dy4ThMg3, optimized geometry, DFT PBE-GGA" ef_mev_per_atom=-55.7 pbc="T T T"
Mg -3.706 -2.649 2.451
Mg -5.575 -3.656 5.835
Mg -7.444 -4.663 9.219
Th -1.611 -1.520 -1.342
Dy -6.826 -3.677 12.359
Dy -1.102 -0.594 1.996
Dy -3.062 -1.649 5.543
Dy -4.867 -2.622 8.811

---

(11)
20
Lattice="6.301 0.000 0.000 0.000 7.193 -1.680 0.000 0.612 11.224" Properties=species:S:1:pos:R:3 comment="GePbS3, optimized geometry, DFT PBE-GGA" raw_formation_energy_kcal_per_mol_atoms=-7.94 pbc="T T T"
Ge 1.540 0.907 5.267
Ge 4.762 6.898 4.277
Ge 4.691 6.592 -1.335
Ge 1.611 1.213 10.879
Pb 4.574 2.835 9.217
Pb 1.728 4.970 0.327
Pb 1.423 5.276 5.939
Pb 4.879 2.529 3.605
S 0.428 0.731 7.212
S 5.874 7.074 2.332
S 3.579 7.380 7.944
S 2.723 0.425 1.600
S 3.698 1.703 6.256
S 2.604 6.102 3.288
S 0.547 6.408 8.900
S 5.755 1.397 0.644
S 1.334 2.812 4.114
S 4.968 4.993 5.430
S 4.484 4.687 -0.182
S 1.817 3.118 9.726

---

(12)
12
Lattice="-1.003 -5.121 -0.076 2.310 -0.228 -4.685 6.299 -1.284 3.168" Properties=species:S:1:pos:R:3 comment="CaLa2OsO8, optimized geometry, DFT PBE-GGA" raw_formation_energy_kcal_per_mol_atoms=-52.79 pbc="T T T"
Ca 3.150 -0.642 1.584
La 5.350 -3.628 -0.018
La 2.256 -3.004 -1.575
Os 0.000 0.000 0.000
O 2.928 -1.318 -3.286
O 7.268 -5.249 -0.366
O 0.765 -4.517 -0.270
O 4.679 -5.315 1.694
O 0.338 -1.383 -1.227
O 6.842 -2.116 -1.322
O 4.055 -4.347 -1.710
O 3.552 -2.286 0.117

---

(13)
Entry from Alexandria: a geometry-optimized NaHfSb2H structure (PBE-GGA).

Geometry as extended XYZ:
```
5
Lattice="-4.753 1.252 -1.512 -0.595 -3.603 -1.115 -1.792 -1.153 4.680" Properties=species:S:1:pos:R:3 pbc="T T T"
Sb -0.896 -0.577 2.340
Sb -2.377 0.626 -0.756
Hf -0.297 -1.801 -0.558
H 0.000 0.000 0.000
Na -3.570 -1.752 1.027
```

---

(14)
3
Lattice="-0.440 -2.497 2.328 2.999 1.681 -0.175 -1.963 3.899 3.812" Properties=species:S:1:pos:R:3 comment="MgZnAs, optimized geometry, DFT PBE-GGA" ef_mev_per_atom=-37.2 pbc="T T T"
As -1.931 3.835 3.749
Mg 0.065 0.170 2.740
Zn 0.499 2.976 3.287

---

(15)
5
Lattice="-1.646 2.456 4.398 0.206 -4.643 2.670 5.033 0.989 1.332" Properties=species:S:1:pos:R:3 comment="CdTcSbPb2, optimized geometry, DFT PBE-GGA" raw_formation_energy_kcal_per_mol_atoms=13.85 pbc="T T T"
Pb 2.517 0.494 0.666
Pb -0.823 1.228 2.199
Sb 1.797 -0.599 4.200
Tc 0.000 0.000 0.000
Cd 0.103 -2.321 1.335

---

(16)
4
Lattice="-0.959 -3.182 -1.356 0.012 -2.918 2.089 -9.368 -0.338 2.665" Properties=species:S:1:pos:R:3 comment="Tm2ScAu, optimized geometry, DFT PBE-GGA" ef_mev_per_atom=-265.7 pbc="T T T"
Tm -7.365 -0.713 2.129
Tm -2.319 -1.658 0.780
Sc -5.144 -3.221 1.695
Au -0.643 -4.064 0.492

---

(17)
4
Lattice="-4.758 3.425 1.443 2.385 -4.801 2.778 5.923 -1.170 -0.052" Properties=species:S:1:pos:R:3 comment="LiMgAg2, optimized geometry, DFT PBE-GGA" ef_mev_per_atom=91.6 pbc="T T T"
Li 0.000 0.000 0.000
Mg 4.154 -2.986 1.363
Ag 2.000 -1.438 0.656
Ag 6.307 -4.533 2.070

---

(18)
4
Lattice="-0.162 4.234 3.244 -4.531 1.257 2.523 -0.398 -0.695 5.275" Properties=species:S:1:pos:R:3 comment="NaLaTlZn, optimized geometry, DFT PBE-GGA" ef_mev_per_atom=-211.8 pbc="T T T"
Na -1.273 1.199 2.760
Tl -2.545 2.398 5.521
Zn 0.000 0.000 0.000
La -3.818 3.596 8.281

---

(19)
18
Lattice="7.473 0.000 0.000 0.000 7.668 0.000 -3.736 -3.834 8.984" Properties=species:S:1:pos:R:3 comment="Sr2Sb2S5, optimized geometry, DFT PBE-GGA" raw_formation_energy_kcal_per_mol_atoms=-23.73 pbc="T T T"
Sr 0.009 4.030 2.014
Sr 3.727 0.196 6.971
Sr 3.727 0.196 2.014
Sr 0.009 4.030 6.971
Sb 0.000 0.014 0.000
Sb 3.736 3.848 0.000
Sb -0.027 0.551 4.492
Sb 3.763 4.385 4.492
S -1.703 1.781 8.462
S 5.440 5.615 0.523
S -2.033 -2.053 8.462
S 5.770 1.781 0.523
S 0.947 -0.774 2.608
S 2.790 3.060 6.377
S 2.790 3.060 2.608
S 0.947 -0.774 6.377
S -1.459 3.440 4.492
S 5.196 -0.394 4.492

---

(20)
4
Lattice="0.000 4.621 4.621 4.621 0.000 4.621 4.621 4.621 0.000" Properties=species:S:1:pos:R:3 comment="Cs2NbI, optimized geometry, DFT PBE-GGA" raw_formation_energy_kcal_per_mol_atoms=13.39 pbc="T T T"
Cs 2.311 2.311 2.311
Cs 6.932 6.932 6.932
I 4.621 4.621 4.621
Nb 0.000 0.000 0.000

---

(21)
14
Lattice="-5.907 -3.483 -2.450 0.662 -6.906 -2.601 -3.154 -5.221 4.205" Properties=species:S:1:pos:R:3 comment="LiNpCrS4, optimized geometry, DFT PBE-GGA" raw_formation_energy_kcal_per_mol_atoms=-25.30 pbc="T T T"
Li -3.732 -6.995 -2.702
Li -4.667 -8.615 1.857
Np 0.000 0.000 0.000
Np -1.246 -6.063 0.802
Cr -4.531 -4.352 0.878
Cr -1.577 -2.611 2.103
S -6.100 -11.857 -0.902
S -3.205 -9.966 0.253
S -5.193 -5.644 -1.099
S -2.299 -3.753 0.056
S -1.698 -7.407 -1.460
S -4.733 -9.196 -2.718
S -3.666 -6.414 1.873
S -6.701 -8.203 0.614

---

(22)
5
Lattice="-3.080 3.069 1.299 -0.665 -2.299 3.856 3.266 2.426 2.010" Properties=species:S:1:pos:R:3 comment="YMn3Co, optimized geometry, DFT PBE-GGA" ef_mev_per_atom=473.4 pbc="T T T"
Y -0.239 1.598 3.582
Mn -0.332 -1.150 1.928
Mn 1.633 1.213 1.005
Mn -1.540 1.535 0.650
Co 0.000 0.000 0.000

---

(23)
5
Lattice="-1.874 4.224 -2.920 -2.842 -3.167 -2.757 -4.121 0.618 3.538" Properties=species:S:1:pos:R:3 comment="In2TePW, optimized geometry, DFT PBE-GGA" raw_formation_energy_kcal_per_mol_atoms=21.95 pbc="T T T"
P -4.418 0.838 -1.070
Te -1.421 -1.583 -1.379
W 0.000 0.000 0.000
In -2.061 0.309 1.769
In -0.937 2.112 -1.460

---

(24)
5
Lattice="-4.900 1.450 3.626 -2.551 -5.594 -1.209 2.957 -2.422 4.965" Properties=species:S:1:pos:R:3 comment="Sr3LaMg, optimized geometry, DFT PBE-GGA" ef_mev_per_atom=785.5 pbc="T T T"
Sr -1.275 -2.797 -0.605
Sr 1.479 -1.211 2.482
Sr -2.450 0.725 1.813
Mg -2.247 -3.283 3.691
La 0.000 0.000 0.000

---

| no. | raw total energy (eV/atom) |
| --- | --- |
| 1 | -5.380 |
| 2 | -3.552 |
| 3 | -5.668 |
| 4 | -8.092 |
| 5 | -2.503 |
| 6 | -2.135 |
| 7 | -9.028 |
| 8 | -6.066 |
| 9 | -8.357 |
| 10 | -3.882 |
| 11 | -4.486 |
| 12 | -7.518 |
| 13 | -4.616 |
| 14 | -2.543 |
| 15 | -3.963 |
| 16 | -4.904 |
| 17 | -2.211 |
| 18 | -2.684 |
| 19 | -4.612 |
| 20 | -2.751 |
| 21 | -6.953 |
| 22 | -7.742 |
| 23 | -4.445 |
| 24 | -1.528 |